<P>
VASP calculation (PBE) on a relaxed structure of SmErNi.

The space group is P-1 (No. 2) and the conventional cell measures 3.672, 6.380 and 6.931 Å, with angles of 74.51, 74.74 and 73.29 degrees. The inequivalent atoms are Sm at (0.166, 0.245, 0.424), Er at (0.413, 0.284, 0.889) and Ni at (0.122, 0.931, 0.824).

The theoretical density is 8.52 g/cm3. The total magnetic moment comes out at 0.00 μB/f.u.

<Q>
VASP calculation (PBE) on a relaxed structure of SmErNi.

The space group is Cm (No. 8) and the conventional cell measures 6.746, 3.886 and 12.426 Å, with angles of 90.00, 100.30 and 90.00 degrees. The inequivalent atoms are Sm at (0.000, 0.000, 0.000), Sm at (0.093, 0.500, 0.776), Er at (0.248, 0.500, 0.242), Er at (0.345, 0.500, 0.535), Ni at (0.129, 0.000, 0.387) and Ni at (0.463, 0.000, 0.390).

The theoretical density is 7.80 g/cm3. The total magnetic moment comes out at 0.00 μB/f.u.

<R>
VASP calculation (PBE) on a relaxed structure of SmErNi.

The space group is I4mm (No. 107) and the conventional cell measures 3.421, 3.421 and 12.483 Å, with angles of 90.00, 90.00 and 90.00 degrees. The inequivalent atoms are Sm at (0.000, 0.000, 0.000), Er at (0.000, 0.000, 0.737) and Ni at (0.000, 0.000, 0.358).

The theoretical density is 8.55 g/cm3. The total magnetic moment comes out at 0.00 μB/f.u.

<S>
VASP calculation (PBE) on a relaxed structure of SmErNi.

The space group is P3m1 (No. 156) and the conventional cell measures 4.5206, 4.5206 and 4.1303 Å, with angles of 90.00, 90.00 and 120.00 degrees. The inequivalent atoms are Sm at (0.0000, 0.0000, 0.0000), Er at (0.3333, 0.6667, 0.5128) and Ni at (0.6667, 0.3333, 0.3143).

The theoretical density is 8.55 g/cm3. The total magnetic moment comes out at 0.00 μB/f.u.

Result of the stability comparison: <S> is the least stable of them.

<P>
VASP calculation (PBE) on a relaxed structure of SmEr2Ni.

The space group is Pnma (No. 62) and the conventional cell measures 6.852, 9.540 and 6.337 Å, with angles of 90.00, 90.00 and 90.00 degrees. The inequivalent atoms are Sm at (0.030, 0.250, 0.139), Er at (0.176, 0.067, 0.677) and Ni at (0.111, 0.750, 0.435).

The theoretical density is 8.72 g/cm3. The total magnetic moment comes out at 0.00 μB/f.u.

<Q>
VASP calculation (PBE) on a relaxed structure of SmEr2Ni.

The space group is R3m (No. 160, hexagonal axes) and the conventional cell measures 3.8014, 3.8014 and 26.5272 Å, with angles of 90.00, 90.00 and 120.00 degrees. The inequivalent atoms are Sm at (0.0000, 0.0000, 0.0000), Er at (0.0000, 0.0000, 0.2268), Er at (0.0000, 0.0000, 0.4445) and Ni at (0.0000, 0.0000, 0.8365).

The theoretical density is 8.16 g/cm3. The total magnetic moment comes out at 0.00 μB/f.u.

Result of the stability comparison: <Q> is the least stable of them.

<P>
VASP calculation (PBE) on a relaxed structure of ErNi9Sn2.

The space group is P4/mbm (No. 127) and the conventional cell measures 8.202, 8.202 and 4.863 Å, with angles of 90.00, 90.00 and 90.00 degrees. The inequivalent atoms are Er at (0.000, 0.000, 0.000), Ni at (0.000, 0.500, 0.500), Ni at (0.065, 0.205, 0.500), Ni at (0.174, 0.674, 0.246) and Sn at (0.128, 0.372, 0.000).

The theoretical density is 9.47 g/cm3. The total magnetic moment comes out at 0.00 μB/f.u.

<Q>
VASP calculation (PBE) on a relaxed structure of ErNi9Sn2.

The space group is R-3m (No. 166, hexagonal axes) and the conventional cell measures 4.9169, 4.9169 and 23.6606 Å, with angles of 90.00, 90.00 and 120.00 degrees. The inequivalent atoms are Er at (0.0000, 0.0000, 0.0000), Ni at (0.0000, 0.0000, 0.3338), Ni at (0.0000, 0.0000, 0.5000), Ni at (0.0037, 0.5018, 0.9160) and Sn at (0.0000, 0.0000, 0.1375).

The theoretical density is 9.38 g/cm3. The total magnetic moment comes out at 1.00 μB/f.u.

Result of the stability comparison: <Q> is the least stable of them.

<P>
VASP calculation (PBE) on a relaxed structure of Er4NiSn.

The space group is P2_1/m (No. 11) and the conventional cell measures 5.484, 6.818 and 8.393 Å, with angles of 90.00, 102.04 and 90.00 degrees. The inequivalent atoms are Er at (0.130, 0.250, 0.056), Er at (0.215, 0.750, 0.362), Er at (0.336, 0.508, 0.773), Ni at (0.352, 0.750, 0.049) and Sn at (0.222, 0.250, 0.429).

The theoretical density is 9.16 g/cm3. The total magnetic moment comes out at 0.00 μB/f.u.

<Q>
VASP calculation (PBE) on a relaxed structure of Er4NiSn.

The space group is P2_1/c (No. 14) and the conventional cell measures 7.229, 7.025 and 6.761 Å, with angles of 90.00, 93.57 and 90.00 degrees. The inequivalent atoms are Er at (0.140, 0.169, 0.183), Er at (0.312, 0.642, 0.111), Ni at (0.000, 0.000, 0.500) and Sn at (0.500, 0.000, 0.000).

The theoretical density is 8.20 g/cm3. The total magnetic moment comes out at 0.00 μB/f.u.

Result of the stability comparison: <Q> is the least stable of them.

<P>
VASP calculation (PBE) on a relaxed structure of Er2NiSn3.

The space group is Cm (No. 8) and the conventional cell measures 11.001, 4.530 and 7.157 Å, with angles of 90.00, 128.81 and 90.00 degrees. The inequivalent atoms are Er at (0.000, 0.000, 0.000), Er at (0.133, 0.000, 0.611), Ni at (0.250, 0.500, 0.047), Sn at (0.229, 0.500, 0.394), Sn at (0.380, 0.000, 0.180) and Sn at (0.465, 0.000, 0.684).

The theoretical density is 8.95 g/cm3. The total magnetic moment comes out at 0.00 μB/f.u.

<Q>
VASP calculation (PBE) on a relaxed structure of Er2NiSn3.

The space group is C2/c (No. 15) and the conventional cell measures 8.397, 8.323 and 8.265 Å, with angles of 90.00, 107.70 and 90.00 degrees. The inequivalent atoms are Er at (0.133, 0.221, 0.133), Ni at (0.000, 0.418, 0.750), Sn at (0.000, 0.108, 0.750) and Sn at (0.197, 0.427, 0.504).

The theoretical density is 9.04 g/cm3. The total magnetic moment comes out at 0.00 μB/f.u.

Result of the stability comparison: <Q> is the least stable of them.

<P>
VASP calculation (PBE) on a relaxed structure of TbEr2Ni.

The space group is P4/mmm (No. 123) and the conventional cell measures 3.406, 3.406 and 8.640 Å, with angles of 90.00, 90.00 and 90.00 degrees. The inequivalent atoms are Tb at (0.000, 0.000, 0.000), Er at (0.500, 0.500, 0.314) and Ni at (0.000, 0.000, 0.500).

The theoretical density is 9.14 g/cm3. The total magnetic moment comes out at 0.00 μB/f.u.

<Q>
VASP calculation (PBE) on a relaxed structure of TbEr2Ni.

The space group is Cmcm (No. 63) and the conventional cell measures 3.613, 11.945 and 9.459 Å, with angles of 90.00, 90.00 and 90.00 degrees. The inequivalent atoms are Tb at (0.000, 0.081, 0.250), Er at (0.000, 0.363, 0.070) and Ni at (0.000, 0.237, 0.750).

The theoretical density is 8.98 g/cm3. The total magnetic moment comes out at 0.00 μB/f.u.

Result of the stability comparison: <P> is the least stable of them.

<P>
VASP calculation (PBE) on a relaxed structure of TbEr2Ni.

The space group is R3m (No. 160, hexagonal axes) and the conventional cell measures 3.7769, 3.7769 and 26.3995 Å, with angles of 90.00, 90.00 and 120.00 degrees. The inequivalent atoms are Tb at (0.0000, 0.0000, 0.0000), Er at (0.0000, 0.0000, 0.5566), Er at (0.0000, 0.0000, 0.7725) and Ni at (0.0000, 0.0000, 0.1637).

The theoretical density is 8.43 g/cm3. The total magnetic moment comes out at 0.00 μB/f.u.

<Q>
VASP calculation (PBE) on a relaxed structure of TbEr2Ni.

The space group is Pnma (No. 62) and the conventional cell measures 6.814, 9.501 and 6.299 Å, with angles of 90.00, 90.00 and 90.00 degrees. The inequivalent atoms are Tb at (0.032, 0.250, 0.138), Er at (0.177, 0.066, 0.678) and Ni at (0.110, 0.750, 0.443).

The theoretical density is 8.99 g/cm3. The total magnetic moment comes out at 0.00 μB/f.u.

Result of the stability comparison: <P> is the least stable of them.

<P>
VASP calculation (PBE) on a relaxed structure of TbEr3Ni.

The space group is Pm-3m (No. 221) and the conventional cell measures 5.260, 5.260 and 5.260 Å, with angles of 90.00, 90.00 and 90.00 degrees. The inequivalent atoms are Tb at (0.000, 0.000, 0.000), Er at (0.000, 0.500, 0.500) and Ni at (0.500, 0.500, 0.500).

The theoretical density is 8.21 g/cm3. The total magnetic moment comes out at 0.00 μB/f.u.

<Q>
VASP calculation (PBE) on a relaxed structure of TbEr3Ni.

The space group is P-1 (No. 2) and the conventional cell measures 3.487, 9.263 and 9.940 Å, with angles of 109.57, 100.04 and 90.02 degrees. The inequivalent atoms are Tb at (0.006, 0.313, 0.015), Er at (0.170, 0.980, 0.339), Er at (0.188, 0.353, 0.374), Er at (0.367, 0.375, 0.734) and Ni at (0.248, 0.789, 0.496).

The theoretical density is 8.04 g/cm3. The total magnetic moment comes out at 0.00 μB/f.u.

Result of the stability comparison: <Q> is the least stable of them.